# 1
The following is a DFT calculation (PBE) of crystalline IrWC3 at its relaxed geometry.

Output
- Energy above the most stable polymorph in this dataset: 0.000 eV/atom
- Energy of formation: 2369 meV per atom
- Theoretical density: 10.36 g cm⁻³

abc: 4.0421 4.0421 4.0421
angles: 90.00 90.00 90.00
Closest atoms and distances in Å follow each position.
Fractional coordinates of all 5 atoms:
C  0.0000  0.5000  0.0000  2 W 2.02
C  0.0000  0.0000  0.5000  2 W 2.02
C  0.5000  0.0000  0.0000  2 W 2.02
Ir  0.5000  0.5000  0.5000  12 C 2.86
W  0.0000  0.0000  0.0000  6 C 2.02



# 2
The following is a DFT calculation (PBE) of crystalline Cd8NiAg5 at its relaxed geometry.

Output
- Energy of formation: 55 meV per atom
- Theoretical density: 8.63 g cm⁻³

abc: 7.2216 7.2216 7.2216
angles: 112.05 104.43 112.05
Closest atoms and distances in Å follow each position.
Fractional coordinates of all 14 atoms:
Cd  0.2389  0.2449  0.3504  1 Ni 2.74, 3 Ag 2.93-2.96, 1 Cd 3.02
Cd  0.8394  0.2384  0.4134  1 Ni 2.65, 4 Ag 2.79-2.97
Cd  0.3990  0.5740  0.1606  1 Ni 2.65, 4 Ag 2.79-2.97
Cd  0.6496  0.8885  0.8945  1 Ni 2.74, 3 Ag 2.93-2.96, 1 Cd 3.02
Cd  0.1750  0.7616  0.6010  1 Ni 2.65, 4 Ag 2.79-2.97
Cd  0.1055  0.7551  0.9940  1 Ni 2.74, 3 Ag 2.93-2.96, 1 Cd 3.02
Cd  0.0060  0.1115  0.7611  1 Ni 2.74, 3 Ag 2.93-2.96, 1 Cd 3.02
Cd  0.5866  0.4260  0.8250  1 Ni 2.65, 4 Ag 2.79-2.97
Ni  0.2500  0.5000  0.7500  8 Cd 2.65-2.74
Ag  0.4705  0.1815  0.0667  8 Cd 2.93-3.25, 2 Ag 2.97
Ag  0.7111  0.5963  0.5295  8 Cd 2.93-3.25, 2 Ag 2.97
Ag  0.9333  0.4037  0.1148  8 Cd 2.93-3.25, 2 Ag 2.97
Ag  0.8852  0.8185  0.2889  8 Cd 2.93-3.25, 2 Ag 2.97
Ag  0.5000  0.0000  0.5000  4 Cd 2.79



# 3
The following is a DFT calculation (PBE) of crystalline LiTbMgNi at its relaxed geometry.

Output
- Energy of formation: -135 meV per atom
- Theoretical density: 5.54 g cm⁻³

abc: 4.7241 4.7241 4.7241
angles: 60.00 60.00 60.00
Closest atoms and distances in Å follow each position.
Fractional coordinates of all 4 atoms:
Tb  0.0000  0.0000  0.0000  4 Ni 2.89, 4 Li 2.89
Ni  0.2500  0.2500  0.2500  4 Mg 2.89, 4 Tb 2.89
Li  0.7500  0.7500  0.7500  4 Tb 2.89, 4 Mg 2.89
Mg  0.5000  0.5000  0.5000  4 Li 2.89, 4 Ni 2.89



# 4
The following is a DFT calculation (PBE) of crystalline Tb8Pm6Nd at its relaxed geometry.

Output
- Energy above the most stable polymorph in this dataset: 0.035 eV/atom
- Energy of formation: 158 meV per atom
- Theoretical density: 7.60 g cm⁻³

abc: 9.7386 9.7386 8.2844
angles: 54.00 54.00 60.00
Closest atoms and distances in Å follow each position.
Fractional coordinates of all 15 atoms:
Tb  0.3703  0.0505  0.7087  1 Nd 3.04, 1 Tb 3.25
Tb  0.6297  0.9495  0.2913  1 Nd 3.04, 1 Tb 3.25
Tb  0.9495  0.1295  0.2913  1 Nd 3.04, 1 Tb 3.25
Tb  0.2389  0.2389  0.2832  6 Tb 3.43-3.58, 6 Pm 3.74-3.79
Tb  0.0505  0.8705  0.7087  1 Nd 3.04, 1 Tb 3.25
Tb  0.8705  0.3703  0.7087  1 Nd 3.04, 1 Tb 3.25
Tb  0.7611  0.7611  0.7168  6 Tb 3.43-3.58, 6 Pm 3.74-3.79
Tb  0.1295  0.6297  0.2913  1 Nd 3.04, 1 Tb 3.25
Nd  0.0000  0.0000  0.0000  6 Tb 3.04
Pm  0.6163  0.1721  0.7730  7 Tb 3.46-3.79, 3 Pm 3.64-3.77
Pm  0.5614  0.3837  0.2270  7 Tb 3.46-3.79, 3 Pm 3.64-3.77
Pm  0.1721  0.4386  0.7730  7 Tb 3.46-3.79, 3 Pm 3.64-3.77
Pm  0.3837  0.8279  0.2270  7 Tb 3.46-3.79, 3 Pm 3.64-3.77
Pm  0.8279  0.5614  0.2270  7 Tb 3.46-3.79, 3 Pm 3.64-3.77
Pm  0.4386  0.6163  0.7730  7 Tb 3.46-3.79, 3 Pm 3.64-3.77



# 5
The following is a DFT calculation (PBE) of crystalline Er3ScCo4 at its relaxed geometry.

Output
- Energy of formation: -221 meV per atom
- Theoretical density: 9.37 g cm⁻³

abc: 3.2611 3.2611 13.0387
angles: 90.00 90.00 90.00
Closest atoms and distances in Å follow each position.
Fractional coordinates of all 8 atoms:
Sc  0.5000  0.5000  0.0000  8 Co 2.74
Er  0.5000  0.5000  0.5000  8 Co 2.85
Er  0.5000  0.5000  0.7554  8 Co 2.84-2.87
Er  0.5000  0.5000  0.2446  8 Co 2.84-2.87
Co  0.0000  0.0000  0.3719  8 Er 2.84-2.85
Co  0.0000  0.0000  0.6281  8 Er 2.84-2.85
Co  0.0000  0.0000  0.8859  4 Sc 2.74, 4 Er 2.87, 1 Co 2.97
Co  0.0000  0.0000  0.1141  4 Sc 2.74, 4 Er 2.87, 1 Co 2.97



# 6
The following is a DFT calculation (PBE) of crystalline Cr2InRh at its relaxed geometry.

Output
- Energy of formation: 461 meV per atom
- Theoretical density: 9.04 g cm⁻³

abc: 8.9757 8.9757 8.9757
angles: 17.81 17.81 17.81
Closest atoms and distances in Å follow each position.
Fractional coordinates of all 4 atoms:
Rh  0.2500  0.2500  0.2500  6 Cr 2.61, 6 Rh 2.78
In  0.7500  0.7500  0.7500  6 In 2.78, 6 Cr 2.85
Cr  0.9945  0.9945  0.9945  3 Rh 2.61, 6 Cr 2.78, 3 In 2.85
Cr  0.5055  0.5055  0.5055  3 Rh 2.61, 6 Cr 2.78, 3 In 2.85